VASP calculation (meta-GGA SCAN) on a PBEsol-optimized structure of Zn2OsSe.

a = 3.9048 Å, b = 3.9048 Å, c = 7.7076 Å
α = 90.00°, β = 90.00°, γ = 90.00°
Space group I-4m2 (No. 119)
Asymmetric unit:
Zn (0.0000, 0.0000, 0.0000) x2
Zn (0.0000, 0.5000, 0.2500) x2
Os (0.0000, 0.0000, 0.5000) x2
Se (0.0000, 0.5000, 0.7500) x2

Summary:
uncorrected formation energy: 0.478 eV per atom



VASP calculation (meta-GGA SCAN) on a PBEsol-optimized structure of MgCd2Ag.

a = 3.5150 Å, b = 3.5150 Å, c = 6.2140 Å
α = 90.00°, β = 90.00°, γ = 90.00°
Space group P4mm (No. 99)
Asymmetric unit:
Mg (0.0000, 0.0000, 0.0000) x1
Cd (0.0000, 0.0000, 0.4746) x1
Cd (0.5000, 0.5000, 0.7383) x1
Ag (0.5000, 0.5000, 0.2270) x1

Summary:
calculated formation energy: -128 meV per atom
excess energy over the best structure of this formula in the dataset: 0 meV per atom



VASP calculation (meta-GGA SCAN) on a PBEsol-optimized structure of LiIn.

a = 3.6056 Å, b = 3.6056 Å, c = 6.1732 Å
α = 90.00°, β = 90.00°, γ = 90.00°
Space group P4/nmm (No. 129, origin choice 2)
Asymmetric unit:
Li (0.2500, 0.2500, 0.1258) x2
In (0.2500, 0.2500, 0.6463) x2

Summary:
calculated formation energy: -278 meV per atom



VASP calculation (meta-GGA SCAN) on a PBEsol-optimized structure of CuP2Ru.

a = 2.8591 Å, b = 2.8591 Å, c = 6.2741 Å
α = 90.00°, β = 90.00°, γ = 90.00°
Space group P4/mmm (No. 123)
Asymmetric unit:
Cu (0.0000, 0.0000, 0.0000) x1
P (0.5000, 0.5000, 0.2620) x2
Ru (0.0000, 0.0000, 0.5000) x1

Summary:
calculated formation energy: 101 meV per atom
excess energy over the best structure of this formula in the dataset: 151 meV per atom



VASP calculation (meta-GGA SCAN) on a PBEsol-optimized structure of SrFe2Ag.

a = 4.0227 Å, b = 4.0951 Å, c = 4.3050 Å
α = 90.00°, β = 90.00°, γ = 90.00°
Space group Pmmm (No. 47)
Asymmetric unit:
Sr (0.0000, 0.0000, 0.0000) x1
Fe (0.0000, 0.5000, 0.5000) x1
Fe (0.5000, 0.0000, 0.5000) x1
Ag (0.5000, 0.5000, 0.0000) x1

Summary:
calculated formation energy: 708 meV per atom



VASP calculation (meta-GGA SCAN) on a PBEsol-optimized structure of IClO2.

a = 6.3039 Å, b = 6.3039 Å, c = 9.4764 Å
α = 90.00°, β = 90.00°, γ = 90.00°
Space group I4_1/amd (No. 141, origin choice 2)
Asymmetric unit:
I (0.0000, 0.2500, 0.3750) x4
Cl (0.0000, 0.2500, 0.8750) x4
O (0.0000, 0.0000, 0.5000) x8

Summary:
uncorrected formation energy: 0.353 eV per atom